Entry 1:
First-principles (PBE) data for a relaxed structure of CaPb2W, as listed in the Alexandria database.

formation energy = 702 meV/atom
magnetization = 0.00 μB per cell
excess energy over the best structure of this formula in the dataset = 6.27 kcal/mol of atoms
total DFT energy (no corrections) = -4.89 eV per atom
DOS at the Fermi energy = 0.706 states/eV per atom

Cell lengths 3.1824, 5.1038, 6.0944 Å; angles 90.00, 90.00, 90.00 degrees
Fractional positions:
Ca 0.0000 0.0000 0.0000
Pb 0.0000 0.0000 0.5197
Pb 0.5000 0.5000 0.2188
W 0.5000 0.5000 0.7324

---

Entry 2:
First-principles (PBE) data for a relaxed structure of CaPb2W, as listed in the Alexandria database.

formation energy = 692 meV/atom
magnetization = 0.00 μB per cell
excess energy over the best structure of this formula in the dataset = 6.02 kcal/mol of atoms
total DFT energy (no corrections) = -4.90 eV per atom
DOS at the Fermi energy = 0.762 states/eV per atom

Cell lengths 3.4837, 4.9464, 5.6910 Å; angles 90.00, 90.00, 90.00 degrees
Fractional positions:
Ca 0.0000 0.0000 0.0000
Pb 0.0000 0.5000 0.5000
Pb 0.5000 0.5000 0.0000
W 0.5000 0.0000 0.5000

---

Entry 3:
First-principles (PBE) data for a relaxed structure of CaPb2W, as listed in the Alexandria database.

formation energy = 514 meV/atom
magnetization = 0.00 μB per cell
excess energy over the best structure of this formula in the dataset = 1.92 kcal/mol of atoms
total DFT energy (no corrections) = -5.08 eV per atom
DOS at the Fermi energy = 0.543 states/eV per atom

Cell lengths 9.3552, 9.3552, 9.3552 Å; angles 22.12, 22.12, 22.12 degrees
Fractional positions:
Ca 0.0000 0.0000 0.0000
Pb 0.2404 0.2404 0.2404
Pb 0.7596 0.7596 0.7596
W 0.5000 0.5000 0.5000

---

Entry 4:
First-principles (PBE) data for a relaxed structure of CaPb2W, as listed in the Alexandria database.

formation energy = 662 meV/atom
magnetization = 0.00 μB per cell
excess energy over the best structure of this formula in the dataset = 5.34 kcal/mol of atoms
total DFT energy (no corrections) = -4.93 eV per atom
DOS at the Fermi energy = 0.935 states/eV per atom

Cell lengths 11.6542, 11.6542, 11.6542 Å; angles 15.98, 15.98, 15.98 degrees
Fractional positions:
Ca 0.0000 0.0000 0.0000
Pb 0.5230 0.5230 0.5230
Pb 0.7539 0.7539 0.7539
W 0.2611 0.2611 0.2611

---

Entry 5:
First-principles (PBE) data for a relaxed structure of CaPb2W, as listed in the Alexandria database.

formation energy = 567 meV/atom
magnetization = 0.00 μB per cell
excess energy over the best structure of this formula in the dataset = 3.14 kcal/mol of atoms
total DFT energy (no corrections) = -5.03 eV per atom
DOS at the Fermi energy = 0.832 states/eV per atom

Cell lengths 5.9419, 5.9419, 5.9419 Å; angles 144.23, 122.64, 69.47 degrees
Fractional positions:
Ca 0.0000 0.0000 0.0000
Pb 0.2739 0.7739 0.5000
Pb 0.7261 0.2261 0.5000
W 0.5000 0.5000 0.0000

---

Entry 6:
First-principles (PBE) data for a relaxed structure of CaPb2W, as listed in the Alexandria database.

formation energy = 575 meV/atom
magnetization = 1.14 μB per cell
excess energy over the best structure of this formula in the dataset = 3.32 kcal/mol of atoms
total DFT energy (no corrections) = -5.02 eV per atom
DOS at the Fermi energy = 1.083 states/eV per atom

Cell lengths 5.2803, 5.2803, 5.2803 Å; angles 125.39, 125.39, 80.90 degrees
Fractional positions:
Ca 0.0000 0.0000 0.0000
Pb 0.2500 0.7500 0.5000
Pb 0.7500 0.2500 0.5000
W 0.5000 0.5000 0.0000

---

Entry 7:
First-principles (PBE) data for a relaxed structure of CaPb3W, as listed in the Alexandria database.

formation energy = 460 meV/atom
magnetization = 0.00 μB per cell
excess energy over the best structure of this formula in the dataset = 0.00 kcal/mol of atoms
total DFT energy (no corrections) = -4.76 eV per atom
DOS at the Fermi energy = 0.892 states/eV per atom

Cell lengths 5.4489, 5.4489, 5.4489 Å; angles 90.00, 90.00, 90.00 degrees
Fractional positions:
Ca 0.0000 0.0000 0.0000
Pb 0.0000 0.5000 0.5000
Pb 0.5000 0.0000 0.5000
Pb 0.5000 0.5000 0.0000
W 0.5000 0.5000 0.5000

---

Entry 8:
First-principles (PBE) data for a relaxed structure of CaPbW3, as listed in the Alexandria database.

formation energy = 2670 meV/atom
magnetization = 0.00 μB per cell
excess energy over the best structure of this formula in the dataset = 0.00 kcal/mol of atoms
total DFT energy (no corrections) = -6.24 eV per atom
DOS at the Fermi energy = 1.536 states/eV per atom

Cell lengths 5.0874, 5.0874, 5.0874 Å; angles 90.00, 90.00, 90.00 degrees
Fractional positions:
Ca 0.0000 0.0000 0.0000
Pb 0.5000 0.5000 0.5000
W 0.0000 0.5000 0.5000
W 0.5000 0.0000 0.5000
W 0.5000 0.5000 0.0000

---

What did the third record say?
First-principles (PBE) data for a relaxed structure of CaPb2W, as listed in the Alexandria database.

formation energy = 514 meV/atom
magnetization = 0.00 μB per cell
excess energy over the best structure of this formula in the dataset = 1.92 kcal/mol of atoms
total DFT energy (no corrections) = -5.08 eV per atom
DOS at the Fermi energy = 0.543 states/eV per atom

Cell lengths 9.3552, 9.3552, 9.3552 Å; angles 22.12, 22.12, 22.12 degrees
Fractional positions:
Ca 0.0000 0.0000 0.0000
Pb 0.2404 0.2404 0.2404
Pb 0.7596 0.7596 0.7596
W 0.5000 0.5000 0.5000